PBE-GGA Y2Al, optimized geometry; space group = P-62m (189); M_tot = 0.4 μB per cell; raw total energy = -5.822 eV per atom
1.0
8.6928 0.0000 0.0000
-4.3464 7.5282 0.0000
0.0000 0.0000 3.7122
Y Al
6 3
Cartesian
-1.2400 2.1478 0.0000
-2.6830 4.6471 1.8561
2.4801 0.0000 0.0000
1.6634 2.8811 1.8561
5.3660 0.0000 1.8561
3.1064 5.3804 0.0000
0.0000 0.0000 1.8561
0.0000 5.0188 0.0000
4.3464 2.5094 0.0000